RbNdTiSe4: optimized geometry, GGA-PBE.

Structure (POSCAR):
```
RbNdTiSe4
1.0
-2.961 6.340 -0.185
-6.041 -2.751 2.428
3.990 -1.163 8.609
Rb Nd Ti Se
2 2 2 8
direct
0.732 0.750 0.938
0.268 0.250 0.062
0.780 0.750 0.453
0.220 0.250 0.547
0.226 0.750 0.328
0.774 0.250 0.672
0.011 0.508 0.711
0.989 0.008 0.289
0.989 0.492 0.289
0.011 0.992 0.711
0.431 0.750 0.172
0.569 0.250 0.828
0.430 0.750 0.576
0.570 0.250 0.424
```

As for the total DFT energy (no corrections): -75.56 eV/cell. As for the raw formation energy: -1459 meV per atom.